Here is Nd5GeBi4 after structural relaxation from Alexandria. Energies are from PBE.

Lattice parameters (Å, degrees): 4.555 4.555 32.148 90.00 90.00 90.00
Space group I4/mmm (No. 139)
Unique sites:
Nd: 0.000 0.000 0.000
Nd: 0.000 0.000 0.200
Nd: 0.000 0.000 0.406
Ge: 0.000 0.000 0.500
Bi: 0.000 0.000 0.100
Bi: 0.000 0.000 0.302

Summary:
Total DFT energy (no corrections) ... -5.2710 eV/atom
Energy above the lowest structure with this stoichiometry ... 0.008 eV/atom
ΔE_f ... -84 kJ per mole of atoms